Entry from Alexandria: an optimized crystal structure of Tb3Bi2Se2 (PBE-GGA).

abc: 4.1661 7.8557 8.2724
angles: 114.51 104.58 90.00
Fractional coordinates of all 7 atoms:
Tb (0.0000, 0.5000, 0.0000)
Tb (0.2701, 0.7396, 0.5402)
Tb (0.7299, 0.2604, 0.4598)
Bi (0.6283, 0.8124, 0.2566)
Bi (0.3717, 0.1876, 0.7434)
Se (0.8647, 0.6541, 0.7294)
Se (0.1353, 0.3459, 0.2706)

Total moment   0.0 μB per formula unit
Space-group type   C2/m (12)
N(E_F)   3.2 states/eV/f.u.
Formation energy without anion corrections   -1159.3 meV per atom